{"formula": "RbLiIn2Ni", "functional": "GGA-PBE", "state": "optimized geometry", "lattice": [[5.0148, 0.0000, 0.0000], [0.0000, 5.0148, 0.0000], [0.0000, 0.0000, 5.4072]], "species": ["Ni", "In", "Rb", "In", "Li"], "frac_coords": [[0.0000, 0.0000, 0.0000], [0.5000, 0.0000, 0.0000], [0.5000, 0.5000, 0.5000], [0.0000, 0.5000, 0.0000], [0.0000, 0.0000, 0.5000]], "space_group": "P4/mmm, No. 123", "m_tot_mub_per_fu": 0.00, "delta_e_f_ev_per_atom": -0.045}


{"formula": "RbLi2InNi", "functional": "GGA-PBE", "state": "optimized geometry", "lattice": [[-1.8285, 3.4206, 2.8829], [-2.2216, -4.3136, 3.7090], [4.1136, 0.0618, 2.5358]], "species": ["Rb", "Ni", "Li", "In", "Li"], "frac_coords": [[0.0000, 0.0000, 0.0000], [0.5000, 0.5000, 0.5000], [0.0000, 0.0000, 0.5000], [0.0000, 0.5000, 0.0000], [0.5000, 0.0000, 0.0000]], "space_group": "P4/mmm, No. 123", "m_tot_mub_per_fu": 0.24, "delta_e_f_ev_per_atom": 1.332}


{"formula": "RbLi2InNi", "functional": "GGA-PBE", "state": "optimized geometry", "lattice": [[5.2069, 0.0000, 0.0000], [0.0000, 4.9493, 0.0000], [0.0000, 0.0000, 5.2069]], "species": ["Ni", "Rb", "Li", "In", "Li"], "frac_coords": [[0.0000, 0.0000, 0.0000], [0.5000, 0.5000, 0.5000], [0.5000, 0.0000, 0.0000], [0.0000, 0.5000, 0.0000], [0.0000, 0.0000, 0.5000]], "space_group": "P4/mmm, No. 123", "m_tot_mub_per_fu": 0.00, "delta_e_f_ev_per_atom": 0.090}


{"formula": "LiInNi2Rh", "functional": "GGA-PBE", "state": "optimized geometry", "lattice": [[-1.7770, -0.3564, 3.6143], [-3.1880, -2.1547, -1.7799], [1.9865, -3.4638, 0.6351]], "species": ["In", "Ni", "Li", "Rh", "Ni"], "frac_coords": [[0.5000, 0.5000, 0.5000], [0.5000, 0.0000, 0.0000], [0.0000, 0.0000, 0.0000], [0.0000, 0.5000, 0.0000], [0.0000, 0.0000, 0.5000]], "space_group": "P4/mmm, No. 123", "m_tot_mub_per_fu": 0.62, "delta_e_f_ev_per_atom": 0.377}


{"formula": "LiIn4Ni2Rh", "functional": "GGA-PBE", "state": "optimized geometry", "lattice": [[-3.7381, -0.8172, 2.4698], [-3.7841, -1.5165, -2.0302], [-0.2822, -7.7503, 1.2073]], "species": ["In", "Rh", "In", "In", "In", "Li", "Ni", "Ni"], "frac_coords": [[0.6250, 0.6250, 0.1251], [0.5000, 0.5000, 0.5000], [0.3750, 0.3750, 0.8749], [0.8734, 0.8734, 0.3797], [0.1266, 0.1266, 0.6203], [0.0000, 0.0000, 0.0000], [0.7469, 0.7469, 0.7592], [0.2531, 0.2531, 0.2408]], "space_group": "R-3m, No. 166", "m_tot_mub_per_fu": 0.00, "delta_e_f_ev_per_atom": -0.217}


{"formula": "LiInNiSb", "functional": "GGA-PBE", "state": "optimized geometry", "lattice": [[4.6682, 0.0000, 0.0000], [2.3341, 4.0428, 0.0000], [2.3341, 1.3476, 3.8116]], "species": ["In", "Li", "Sb", "Ni"], "frac_coords": [[0.0000, 0.0000, 0.0000], [0.7500, 0.7500, 0.7500], [0.5000, 0.5000, 0.5000], [0.2500, 0.2500, 0.2500]], "space_group": "F-43m, No. 216", "m_tot_mub_per_fu": 0.00, "formation_energy_uncorrected_ev_per_fu": -0.53}


{"formula": "LiScInNi", "functional": "GGA-PBE", "state": "optimized geometry", "lattice": [[4.5234, 0.0000, 0.0000], [2.2617, 3.9174, 0.0000], [2.2617, 1.3058, 3.6934]], "species": ["Li", "Ni", "Sc", "In"], "frac_coords": [[0.7500, 0.7500, 0.7500], [0.2500, 0.2500, 0.2500], [0.5000, 0.5000, 0.5000], [0.0000, 0.0000, 0.0000]], "space_group": "F-43m, No. 216", "m_tot_mub_per_fu": 0.00, "delta_e_f_ev_per_atom": -0.397}


{"formula": "Li2InNiSe", "functional": "GGA-PBE", "state": "optimized geometry", "lattice": [[5.0400, 0.0000, 0.0000], [0.0000, 5.2353, 0.0000], [0.0000, 0.0000, 5.0400]], "species": ["In", "Li", "Ni", "Se", "Li"], "frac_coords": [[0.0000, 0.0000, 0.0000], [0.0000, 0.0000, 0.5000], [0.5000, 0.5000, 0.5000], [0.0000, 0.5000, 0.0000], [0.5000, 0.0000, 0.0000]], "space_group": "P4/mmm, No. 123", "m_tot_mub_per_fu": 0.00, "formation_energy_uncorrected_ev_per_fu": 3.92}


{"formula": "Li3Sm2InNi12", "functional": "GGA-PBE", "state": "optimized geometry", "lattice": [[9.1092, 1.8121, 1.2853], [6.0743, 7.0259, 1.2853], [6.0743, 3.5357, 6.2060]], "species": ["Ni", "Ni", "Li", "Ni", "Ni", "Ni", "Li", "Ni", "In", "Ni", "Ni", "Ni", "Li", "Sm", "Ni", "Ni", "Ni", "Sm"], "frac_coords": [[0.8690, 0.8690, 0.4625], [0.4625, 0.8690, 0.8690], [0.5000, 0.0000, 0.0000], [0.1310, 0.1310, 0.5375], [0.5375, 0.1310, 0.1310], [0.4152, 0.7997, 0.4152], [0.0000, 0.0000, 0.5000], [0.8690, 0.4625, 0.8690], [0.0000, 0.0000, 0.0000], [0.4152, 0.4152, 0.7997], [0.5848, 0.5848, 0.2003], [0.7997, 0.4152, 0.4152], [0.0000, 0.5000, 0.0000], [0.3627, 0.3627, 0.3627], [0.1310, 0.5375, 0.1310], [0.5848, 0.2003, 0.5848], [0.2003, 0.5848, 0.5848], [0.6373, 0.6373, 0.6373]], "space_group": "R-3m, No. 166", "m_tot_mub_per_fu": 0.00, "delta_e_f_ev_per_atom": 0.118}


{"formula": "LiInNi2Sn", "functional": "GGA-PBE", "state": "optimized geometry", "lattice": [[4.8074, 0.0000, 0.0000], [0.0000, 5.4793, 0.0000], [0.0000, 0.0000, 4.8074]], "species": ["Li", "Sn", "Ni", "In", "Ni"], "frac_coords": [[0.5000, 0.5000, 0.5000], [0.0000, 0.5000, 0.0000], [0.5000, 0.0000, 0.0000], [0.0000, 0.0000, 0.0000], [0.0000, 0.0000, 0.5000]], "space_group": "P4/mmm, No. 123", "m_tot_mub_per_fu": 0.00, "delta_e_f_ev_per_atom": 0.812}


{"formula": "LiInNi2Sn", "functional": "GGA-PBE", "state": "optimized geometry", "lattice": [[4.7931, 0.0000, 0.0000], [0.0000, 5.5602, 0.0000], [0.0000, 0.0000, 4.7931]], "species": ["In", "Sn", "Ni", "Li", "Ni"], "frac_coords": [[0.0000, 0.5000, 0.0000], [0.0000, 0.0000, 0.0000], [0.0000, 0.0000, 0.5000], [0.5000, 0.5000, 0.5000], [0.5000, 0.0000, 0.0000]], "space_group": "P4/mmm, No. 123", "m_tot_mub_per_fu": 0.12, "delta_e_f_ev_per_atom": 0.662}


{"formula": "LiInNiSn", "functional": "GGA-PBE", "state": "optimized geometry", "lattice": [[4.5943, 0.0000, 0.0000], [2.2972, 3.9788, 0.0000], [2.2972, 1.3263, 3.7513]], "species": ["Ni", "Sn", "Li", "In"], "frac_coords": [[0.2500, 0.2500, 0.2500], [0.0000, 0.0000, 0.0000], [0.7500, 0.7500, 0.7500], [0.5000, 0.5000, 0.5000]], "space_group": "F-43m, No. 216", "m_tot_mub_per_fu": 0.00, "delta_e_f_ev_per_atom": -0.193}


{"formula": "Sr2LiInNi", "functional": "GGA-PBE", "state": "optimized geometry", "lattice": [[-4.6416, 1.5070, 3.0337], [-0.6057, -5.4325, 1.7720], [2.8939, 0.9652, 3.9484]], "species": ["Li", "Sr", "Ni", "In", "Sr"], "frac_coords": [[0.5000, 0.5000, 0.5000], [0.0000, 0.5000, 0.0000], [0.0000, 0.0000, 0.0000], [0.0000, 0.0000, 0.5000], [0.5000, 0.0000, 0.0000]], "space_group": "P4/mmm, No. 123", "m_tot_mub_per_fu": 0.00, "delta_e_f_ev_per_atom": -0.095}


{"formula": "SrLiInNi", "functional": "GGA-PBE", "state": "optimized geometry", "lattice": [[-1.1351, -4.7606, 0.6772], [3.5461, -3.4354, -0.1838], [1.4146, -2.3136, 4.1300]], "species": ["Li", "In", "Sr", "Ni"], "frac_coords": [[0.2500, 0.2500, 0.2500], [0.5000, 0.5000, 0.5000], [0.0000, 0.0000, 0.0000], [0.7500, 0.7500, 0.7500]], "space_group": "F-43m, No. 216", "m_tot_mub_per_fu": 0.00, "delta_e_f_ev_per_atom": -0.080}


{"formula": "LiInTc2Ni", "functional": "GGA-PBE", "state": "optimized geometry", "lattice": [[4.5296, 0.0000, 0.0000], [0.0000, 4.2427, 0.0000], [0.0000, 0.0000, 4.5296]], "species": ["In", "Ni", "Tc", "Li", "Tc"], "frac_coords": [[0.5000, 0.5000, 0.5000], [0.0000, 0.0000, 0.0000], [0.5000, 0.0000, 0.0000], [0.0000, 0.5000, 0.0000], [0.0000, 0.0000, 0.5000]], "space_group": "P4/mmm, No. 123", "m_tot_mub_per_fu": 2.68, "delta_e_f_ev_per_atom": 0.858}


{"formula": "LiTl2InNi", "functional": "GGA-PBE", "state": "optimized geometry", "lattice": [[5.0525, 0.0000, 0.0000], [0.0000, 4.8867, 0.0000], [0.0000, 0.0000, 5.0525]], "species": ["Tl", "Tl", "In", "Ni", "Li"], "frac_coords": [[0.0000, 0.0000, 0.5000], [0.5000, 0.0000, 0.0000], [0.5000, 0.5000, 0.5000], [0.0000, 0.0000, 0.0000], [0.0000, 0.5000, 0.0000]], "space_group": "P4/mmm, No. 123", "m_tot_mub_per_fu": 0.00, "delta_e_f_ev_per_atom": 0.101}


{"formula": "LiTlInNi", "functional": "GGA-PBE", "state": "optimized geometry", "lattice": [[-0.3251, 4.6229, 0.1284], [-4.0290, 2.0107, 1.1036], [-0.4663, 2.1789, 4.0655]], "species": ["In", "Tl", "Li", "Ni"], "frac_coords": [[0.0000, 0.0000, 0.0000], [0.5000, 0.5000, 0.5000], [0.7500, 0.7500, 0.7500], [0.2500, 0.2500, 0.2500]], "space_group": "F-43m, No. 216", "m_tot_mub_per_fu": 0.00, "delta_e_f_ev_per_atom": -0.084}


{"formula": "Li2VInNi", "functional": "GGA-PBE", "state": "optimized geometry", "lattice": [[-1.2070, 3.0638, -2.7012], [0.5136, -3.0665, -3.7077], [-4.0594, -1.2116, 0.4397]], "species": ["Li", "Ni", "Li", "V", "In"], "frac_coords": [[0.5000, 0.0000, 0.0000], [0.0000, 0.0000, 0.0000], [0.0000, 0.0000, 0.5000], [0.5000, 0.5000, 0.5000], [0.0000, 0.5000, 0.0000]], "space_group": "P4/mmm, No. 123", "m_tot_mub_per_fu": 0.19, "delta_e_f_ev_per_atom": 0.690}


{"formula": "LiYInNi", "functional": "GGA-PBE", "state": "optimized geometry", "lattice": [[-4.1759, -0.1010, 2.1524], [-2.7917, -3.7514, -0.4629], [-0.6931, -2.8776, 3.6496]], "species": ["Ni", "In", "Y", "Li"], "frac_coords": [[0.0000, 0.0000, 0.0000], [0.2500, 0.2500, 0.2500], [0.7500, 0.7500, 0.7500], [0.5000, 0.5000, 0.5000]], "space_group": "F-43m, No. 216", "m_tot_mub_per_fu": 0.00, "delta_e_f_ev_per_atom": -0.367}


{"formula": "LiNpIn", "functional": "GGA-PBE", "state": "optimized geometry", "lattice": [[-2.7389, 1.9455, 1.1845], [-1.6368, -2.9693, 1.0925], [4.4486, 0.8306, 8.9225]], "species": ["Li", "Li", "In", "In", "Np", "Np"], "frac_coords": [[0.5000, 0.0000, 0.4189], [0.0000, 0.5000, 0.5811], [0.5000, 0.0000, 0.7222], [0.0000, 0.5000, 0.2778], [0.0000, 0.0000, 0.0000], [0.5000, 0.5000, 0.0000]], "space_group": "P4/nmm, No. 129", "m_tot_mub_per_fu": 1.74, "delta_e_f_ev_per_atom": 0.144}